1.
# NdAlPd4

A geometry-optimized NdAlPd4 structure (PBE, Alexandria).

```
NdAlPd4
1.0
-1.985 4.031 -4.022
-1.879 -4.484 -3.568
-6.394 0.094 3.250
Nd Pd Al
2 8 2
Direct
0.500 0.000 0.500 Nd
0.000 0.500 0.500 Nd
0.000 0.000 0.323 Pd
0.000 0.000 0.677 Pd
0.500 0.500 0.323 Pd
0.649 0.149 0.000 Pd
0.351 0.851 0.000 Pd
0.851 0.649 0.000 Pd
0.149 0.351 0.000 Pd
0.500 0.500 0.677 Pd
0.500 0.500 0.000 Al
0.000 0.000 0.000 Al
```

Summary:
Symmetry: P4/mbm, No. 127
ΔE_f (kcal/mol of atoms): -6.332

=====

2.
# Nd3AlPd12

A geometry-optimized Nd3AlPd12 structure (PBE, Alexandria).

```
Nd3AlPd12
1.0
-3.016 -0.759 -2.783
-1.217 -3.315 2.223
-10.169 9.404 8.455
Pd Nd Al
12 3 1
Direct
0.000 0.500 0.370 Pd
0.500 0.000 0.630 Pd
0.500 0.500 0.761 Pd
0.500 0.000 0.107 Pd
0.500 0.000 0.370 Pd
0.500 0.500 0.500 Pd
0.500 0.000 0.893 Pd
0.000 0.500 0.893 Pd
0.000 0.500 0.630 Pd
0.500 0.500 0.239 Pd
0.500 0.500 0.000 Pd
0.000 0.500 0.107 Pd
0.000 0.000 0.500 Nd
0.000 0.000 0.239 Nd
0.000 0.000 0.761 Nd
0.000 0.000 0.000 Al
```

Summary:
Symmetry: P4/mmm, No. 123
ΔE_f (kcal/mol of atoms): -16.601

=====

3.
# NdAl8Pd4

A geometry-optimized NdAl8Pd4 structure (PBE, Alexandria).

```
NdAl8Pd4
1.0
5.059 0.000 2.034
2.530 6.295 1.017
0.182 0.000 6.857
Al Nd Pd
8 1 4
Direct
0.278 0.222 0.222 Al
0.651 0.349 0.349 Al
0.349 0.651 0.651 Al
0.000 0.651 0.349 Al
0.722 0.778 0.778 Al
0.500 0.222 0.778 Al
0.500 0.778 0.222 Al
0.000 0.349 0.651 Al
0.000 0.000 0.000 Nd
0.000 0.000 0.500 Pd
0.000 0.500 0.000 Pd
0.500 0.500 0.000 Pd
0.500 0.000 0.500 Pd
```

Summary:
Symmetry: I4/mmm, No. 139
ΔE_f (kcal/mol of atoms): -16.605

=====

4.
# NdAl2Pd6

A geometry-optimized NdAl2Pd6 structure (PBE, Alexandria).

```
NdAl2Pd6
1.0
8.005 0.000 0.000
4.003 6.933 0.000
4.003 2.311 6.536
Nd Pd Al
2 12 4
Direct
0.500 0.500 0.500 Nd
0.750 0.750 0.750 Nd
0.000 0.500 0.500 Pd
0.000 0.500 0.000 Pd
0.750 0.250 0.250 Pd
0.250 0.750 0.250 Pd
0.750 0.750 0.250 Pd
0.250 0.750 0.750 Pd
0.000 0.000 0.500 Pd
0.250 0.250 0.750 Pd
0.750 0.250 0.750 Pd
0.500 0.000 0.500 Pd
0.500 0.500 0.000 Pd
0.500 0.000 0.000 Pd
0.125 0.625 0.125 Al
0.125 0.125 0.625 Al
0.125 0.125 0.125 Al
0.625 0.125 0.125 Al
```

Summary:
Symmetry: Fd-3m, No. 227
ΔE_f (kcal/mol of atoms): -9.105